Here is a geometry-optimized Na3CrF6 structure from the Alexandria database. Energies are from PBE with a Hubbard U.

Properties
E above lowest polymorph ... 83 meV/atom
Total DFT energy (no corrections) ... -50.0 eV per cell
Crystal system ... cubic
Symmetry ... Fm-3m (225)

a = 5.8167 Å, b = 5.8167 Å, c = 5.8167 Å
α = 60.00°, β = 60.00°, γ = 60.00°
Closest atoms and distances in Å follow each position.
Fractional positions:
Na 0.2500 0.2500 0.2500  12 F 2.91
Na 0.7500 0.7500 0.7500  12 F 2.91
Na 0.5000 0.5000 0.5000  6 F 2.18
Cr 0.0000 0.0000 0.0000  6 F 1.93
F 0.2347 0.2347 0.7653  1 Cr 1.93
F 0.2347 0.7653 0.7653  1 Cr 1.93
F 0.7653 0.7653 0.2347  1 Cr 1.93
F 0.2347 0.7653 0.2347  1 Cr 1.93
F 0.7653 0.2347 0.7653  1 Cr 1.93
F 0.7653 0.2347 0.2347  1 Cr 1.93


Here is a geometry-optimized Na4Cr2F9 structure from the Alexandria database. Energies are from PBE with a Hubbard U.

Properties
Total DFT energy (no corrections) ... -155.7 eV per cell
Crystal system ... triclinic
Symmetry ... P-1 (2)

a = 5.7407 Å, b = 5.5603 Å, c = 14.8862 Å
α = 89.37°, β = 90.21°, γ = 60.08°
Closest atoms and distances in Å follow each position.
Fractional positions:
Na 0.3294 0.3379 0.9749  5 F 2.32-2.44
Na 0.3363 0.3311 0.4838  6 F 2.25-2.49
Na 0.6706 0.6621 0.0251  5 F 2.32-2.44
Na 0.3588 0.3257 0.1910  5 F 2.22-2.40
Na 0.6637 0.6689 0.5162  6 F 2.25-2.49
Na 0.6745 0.6603 0.3115  6 F 2.24-2.42
Na 0.3255 0.3397 0.6885  6 F 2.24-2.42
Na 0.6412 0.6743 0.8090  5 F 2.22-2.40
Cr 0.0053 0.9816 0.3612  4 F 1.99-2.18
Cr 0.0168 0.9950 0.1532  6 F 1.94-2.03
Cr 0.9947 0.0184 0.6388  4 F 1.99-2.18
Cr 0.9832 0.0050 0.8468  6 F 1.94-2.03
F 0.9911 0.2657 0.7519  2 Cr 2.03-2.18
F 0.2391 0.7180 0.7666  1 Cr 1.96
F 0.6989 0.0268 0.7688  1 Cr 1.95
F 0.0089 0.7343 0.2481  2 Cr 2.03-2.18
F 0.7609 0.2820 0.2334  1 Cr 1.96
F 0.3011 0.9732 0.2312  1 Cr 1.95
F 0.6548 0.9971 0.3995  1 Cr 2.05, 2 Na 2.25
F 0.9766 0.3150 0.4196  1 Cr 1.99
F 0.3666 0.6747 0.4068  1 Cr 2.03, 1 Na 2.24
F 0.7044 0.0242 0.0901  1 Cr 1.95
F 0.2838 0.6760 0.0869  1 Cr 1.95
F 0.0482 0.2734 0.0832  1 Cr 1.94
F 0.3452 0.0029 0.6005  1 Cr 2.05, 2 Na 2.25
F 0.0234 0.6851 0.5804  1 Cr 1.99
F 0.6334 0.3253 0.5932  1 Cr 2.03, 1 Na 2.24
F 0.2956 0.9758 0.9099  1 Cr 1.95
F 0.7162 0.3240 0.9131  1 Cr 1.95
F 0.9518 0.7266 0.9168  1 Cr 1.94


Here is a geometry-optimized NaCrF6 structure from the Alexandria database. Energies are from PBE with a Hubbard U.

Properties
Total DFT energy (no corrections) ... -38.0 eV per cell
Crystal system ... monoclinic
Symmetry ... C2/m (12)

a = 5.1301 Å, b = 5.4548 Å, c = 5.0555 Å
α = 57.35°, β = 83.61°, γ = 78.10°
Closest atoms and distances in Å follow each position.
Fractional positions:
Na 0.0000 0.0000 0.0000  6 F 2.33-2.41
Cr 0.5000 0.5000 0.0000  6 F 1.79-1.81
F 0.7182 0.4765 0.7046  1 Cr 1.81
F 0.7182 0.1810 0.2954  1 Cr 1.81
F 0.2818 0.8190 0.7046  1 Cr 1.81
F 0.2818 0.5235 0.2954  1 Cr 1.81
F 0.6960 0.7356 0.0000  1 Cr 1.79
F 0.3040 0.2644 0.0000  1 Cr 1.79


Here is a geometry-optimized Na2CrF5 structure from the Alexandria database. Energies are from PBE with a Hubbard U.

Properties
Total DFT energy (no corrections) ... -83.8 eV per cell
Crystal system ... monoclinic
Symmetry ... C2/c (15)

a = 5.5105 Å, b = 7.9531 Å, c = 6.4608 Å
α = 61.12°, β = 64.76°, γ = 69.73°
Closest atoms and distances in Å follow each position.
Fractional positions:
Na 0.5957 0.5181 0.2920  4 F 2.23-2.31
Na 0.3064 0.0489 0.3369  4 F 2.23-2.31
Na 0.5941 0.0181 0.7920  4 F 2.23-2.31
Na 0.3077 0.5489 0.8369  4 F 2.23-2.31
Cr 0.9510 0.7836 0.3145  6 F 1.93-2.01
Cr 0.9509 0.2836 0.8145  6 F 1.93-2.01
F 0.7228 0.3148 0.6349  1 Cr 1.93
F 0.9722 0.6536 0.1191  1 Cr 1.93
F 0.1790 0.2522 0.9942  1 Cr 1.93
F 0.3275 0.8148 0.1349  1 Cr 1.93
F 0.2551 0.1536 0.6191  1 Cr 1.93
F 0.5746 0.7522 0.4942  1 Cr 1.93
F 0.6467 0.4136 0.0098  1 Cr 1.93
F 0.9298 0.9136 0.5098  1 Cr 1.93
F 0.8116 0.0336 0.0646  2 Cr 2.01
F 0.0902 0.5336 0.5646  2 Cr 2.01


Here is a geometry-optimized Na2CrF2 structure from the Alexandria database. Energies are from PBE with a Hubbard U.

Properties
E above lowest polymorph ... 129 meV/atom
Total DFT energy (no corrections) ... -41.6 eV per cell
Crystal system ... tetragonal
Symmetry ... P4/mbm (127)

a = 7.3920 Å, b = 7.3920 Å, c = 2.9762 Å
α = 90.00°, β = 90.00°, γ = 90.00°
Closest atoms and distances in Å follow each position.
Fractional positions:
Cr 0.0000 0.0000 0.0000  4 Na 2.92, 2 Cr 2.98, 8 F 3.23
Cr 0.5000 0.5000 0.0000  4 Na 2.92, 2 Cr 2.98, 8 F 3.23
F 0.1362 0.6362 0.5000  4 Na 2.44
F 0.6362 0.8638 0.5000  4 Na 2.44
F 0.8638 0.3638 0.5000  4 Na 2.44
F 0.3638 0.1362 0.5000  4 Na 2.44
Na 0.3739 0.8739 0.0000  4 F 2.44, 1 Na 2.64
Na 0.8739 0.6261 0.0000  4 F 2.44, 1 Na 2.64
Na 0.6261 0.1261 0.0000  4 F 2.44, 1 Na 2.64
Na 0.1261 0.3739 0.0000  4 F 2.44, 1 Na 2.64


Here is a geometry-optimized Na3CrF6 structure from the Alexandria database. Energies are from PBE with a Hubbard U.

Properties
E above lowest polymorph ... 0 meV/atom
Total DFT energy (no corrections) ... -101.8 eV per cell
Crystal system ... monoclinic
Symmetry ... P2_1/c (14)

a = 5.7944 Å, b = 5.5617 Å, c = 9.7461 Å
α = 55.64°, β = 90.00°, γ = 90.00°
Closest atoms and distances in Å follow each position.
Fractional positions:
Na 0.5572 0.7266 0.2560  5 F 2.32-2.57
Na 0.0572 0.2734 0.2440  5 F 2.32-2.57
Na 0.4428 0.2734 0.7440  5 F 2.32-2.57
Na 0.9428 0.7266 0.7560  5 F 2.32-2.57
Na 0.5000 0.5000 0.0000  6 F 2.25-2.34
Na 0.0000 0.5000 0.5000  6 F 2.25-2.34
Cr 0.5000 0.0000 0.5000  6 F 1.95-1.96
Cr 0.0000 0.0000 0.0000  6 F 1.95-1.96
F 0.2219 0.7586 0.5733  1 Cr 1.96
F 0.7219 0.2414 0.9267  1 Cr 1.96
F 0.7781 0.2414 0.4267  1 Cr 1.96
F 0.2781 0.7586 0.0733  1 Cr 1.96
F 0.3214 0.3388 0.4469  1 Cr 1.95
F 0.8214 0.6612 0.0531  1 Cr 1.95
F 0.6786 0.6612 0.5531  1 Cr 1.95
F 0.1786 0.3388 0.9469  1 Cr 1.95
F 0.0580 0.1062 0.7746  1 Cr 1.96
F 0.5580 0.8938 0.7254  1 Cr 1.96
F 0.9420 0.8938 0.2254  1 Cr 1.96
F 0.4420 0.1062 0.2746  1 Cr 1.96


Here is a geometry-optimized Na3CrF6 structure from the Alexandria database. Energies are from PBE with a Hubbard U.

Properties
E above lowest polymorph ... 98 meV/atom
Total DFT energy (no corrections) ... -49.9 eV per cell
Crystal system ... orthorhombic
Symmetry ... Fmmm (69)

a = 5.3159 Å, b = 5.3159 Å, c = 6.2489 Å
α = 111.31°, β = 111.31°, γ = 98.37°
Closest atoms and distances in Å follow each position.
Fractional positions:
Na 0.7500 0.2500 0.5000  4 F 2.39
Na 0.5000 0.5000 0.0000  2 F 2.11
Na 0.2500 0.7500 0.5000  4 F 2.39
Cr 0.0000 0.0000 0.0000  6 F 1.92-1.96
F 0.6663 0.6663 0.7398  1 Cr 1.96
F 0.9264 0.9264 0.2602  1 Cr 1.96
F 0.0736 0.0736 0.7398  1 Cr 1.96
F 0.3337 0.3337 0.2602  1 Cr 1.96
F 0.7616 0.2384 0.0000  1 Cr 1.92, 1 Na 2.11
F 0.2384 0.7616 0.0000  1 Cr 1.92, 1 Na 2.11


Here is a geometry-optimized NaCr3F7 structure from the Alexandria database. Energies are from PBE with a Hubbard U.

Properties
Total DFT energy (no corrections) ... -64.6 eV per cell
Crystal system ... monoclinic
Symmetry ... C2/m (12)

a = 6.7679 Å, b = 5.5212 Å, c = 5.5212 Å
α = 84.52°, β = 119.27°, γ = 119.27°
Closest atoms and distances in Å follow each position.
Fractional positions:
Na 0.5000 0.5000 0.5000  6 F 2.41-2.44
Cr 0.0000 0.7651 0.2349  5 F 1.97-2.20
Cr 0.5000 0.0000 0.0000  6 F 2.11-2.32
Cr 0.0000 0.2349 0.7651  5 F 1.97-2.20
F 0.2589 0.1094 0.1094  3 Cr 2.20-2.32, 1 Na 2.44
F 0.2539 0.0561 0.6046  2 Cr 2.05-2.11
F 0.7461 0.3954 0.9439  2 Cr 2.05-2.11
F 0.2539 0.6046 0.0561  2 Cr 2.05-2.11
F 0.0000 0.5000 0.5000  2 Cr 1.97
F 0.7461 0.9439 0.3954  2 Cr 2.05-2.11
F 0.7411 0.8906 0.8906  3 Cr 2.20-2.32, 1 Na 2.44


Here is a geometry-optimized Na2CrNiF6 structure from the Alexandria database. Energies are from PBE with a Hubbard U.

Properties
Total DFT energy (no corrections) ... -48.5 eV per cell
Crystal system ... tetragonal
Symmetry ... P4mm (99)

a = 4.0253 Å, b = 5.8719 Å, c = 5.8719 Å
α = 90.00°, β = 90.00°, γ = 90.00°
Closest atoms and distances in Å follow each position.
Fractional positions:
Na 0.0138 0.5000 0.0000  4 F 2.44
Na 0.0138 0.0000 0.5000  4 F 2.44
Cr 0.6507 0.5000 0.5000  6 F 2.00-2.15
Ni 0.6672 0.0000 0.0000  6 F 1.99-2.03
F 0.6937 0.2424 0.2424  1 Ni 2.02, 1 Cr 2.15
F 0.6937 0.2424 0.7576  1 Ni 2.02, 1 Cr 2.15
F 0.1542 0.5000 0.5000  2 Cr 2.00-2.03
F 0.1721 0.0000 0.0000  2 Ni 1.99-2.03
F 0.6937 0.7576 0.7576  1 Ni 2.02, 1 Cr 2.15
F 0.6937 0.7576 0.2424  1 Ni 2.02, 1 Cr 2.15


Here is a geometry-optimized NaCrNiF6 structure from the Alexandria database. Energies are from PBE with a Hubbard U.

Properties
Total DFT energy (no corrections) ... -89.7 eV per cell
Crystal system ... trigonal
Symmetry ... P-31c (163)

a = 5.2624 Å, b = 5.2624 Å, c = 9.7826 Å
α = 90.00°, β = 90.00°, γ = 120.00°
Closest atoms and distances in Å follow each position.
Fractional positions:
Na 0.0000 0.0000 0.0000  6 F 2.35
Na 0.0000 0.0000 0.5000  6 F 2.35
Cr 0.6667 0.3333 0.2500  6 F 1.95
Cr 0.3333 0.6667 0.7500  6 F 1.95
Ni 0.3333 0.6667 0.2500  6 F 2.03
Ni 0.6667 0.3333 0.7500  6 F 2.03
F 0.6459 0.6338 0.1419  1 Cr 1.95, 1 Ni 2.03
F 0.9879 0.3541 0.1419  1 Cr 1.95, 1 Ni 2.03
F 0.3541 0.9879 0.6419  1 Cr 1.95, 1 Ni 2.03
F 0.0121 0.6459 0.8581  1 Cr 1.95, 1 Ni 2.03
F 0.3662 0.3541 0.3581  1 Cr 1.95, 1 Ni 2.03
F 0.9879 0.6338 0.3581  1 Cr 1.95, 1 Ni 2.03
F 0.6338 0.9879 0.8581  1 Cr 1.95, 1 Ni 2.03
F 0.6459 0.0121 0.3581  1 Cr 1.95, 1 Ni 2.03
F 0.0121 0.3662 0.6419  1 Cr 1.95, 1 Ni 2.03
F 0.3662 0.0121 0.1419  1 Cr 1.95, 1 Ni 2.03
F 0.6338 0.6459 0.6419  1 Cr 1.95, 1 Ni 2.03
F 0.3541 0.3662 0.8581  1 Cr 1.95, 1 Ni 2.03


Here is a geometry-optimized NaNpCrF6 structure from the Alexandria database. Energies are from PBE with a Hubbard U.

Properties
Total DFT energy (no corrections) ... -117.9 eV per cell
Crystal system ... trigonal
Symmetry ... P-31c (163)

a = 5.8686 Å, b = 5.8686 Å, c = 9.3307 Å
α = 90.00°, β = 90.00°, γ = 120.00°
Closest atoms and distances in Å follow each position.
Fractional positions:
Na 0.3333 0.6667 0.2500  6 F 2.35
Na 0.6667 0.3333 0.7500  6 F 2.35
Np 0.6667 0.3333 0.2500  6 F 2.26
Np 0.3333 0.6667 0.7500  6 F 2.26
Cr 0.0000 0.0000 0.0000  6 F 2.23
Cr 0.0000 0.0000 0.5000  6 F 2.23
F 0.6827 0.6712 0.1250  1 Cr 2.23, 1 Np 2.26, 1 Na 2.35
F 0.9886 0.3173 0.1250  1 Cr 2.23, 1 Np 2.26, 1 Na 2.35
F 0.3173 0.9886 0.6250  1 Cr 2.23, 1 Np 2.26, 1 Na 2.35
F 0.0114 0.6827 0.8750  1 Cr 2.23, 1 Np 2.26, 1 Na 2.35
F 0.3288 0.3173 0.3750  1 Cr 2.23, 1 Np 2.26, 1 Na 2.35
F 0.9886 0.6712 0.3750  1 Cr 2.23, 1 Np 2.26, 1 Na 2.35
F 0.6712 0.9886 0.8750  1 Cr 2.23, 1 Np 2.26, 1 Na 2.35
F 0.6827 0.0114 0.3750  1 Cr 2.23, 1 Np 2.26, 1 Na 2.35
F 0.0114 0.3288 0.6250  1 Cr 2.23, 1 Np 2.26, 1 Na 2.35
F 0.3288 0.0114 0.1250  1 Cr 2.23, 1 Np 2.26, 1 Na 2.35
F 0.6712 0.6827 0.6250  1 Cr 2.23, 1 Np 2.26, 1 Na 2.35
F 0.3173 0.3288 0.8750  1 Cr 2.23, 1 Np 2.26, 1 Na 2.35


Here is a geometry-optimized NaCrO2F structure from the Alexandria database. Energies are from PBE with a Hubbard U.

Properties
Total DFT energy (no corrections) ... -21.9 eV per cell
Crystal system ... tetragonal
Symmetry ... P4/mmm (123)

a = 4.0822 Å, b = 4.0822 Å, c = 3.9223 Å
α = 90.00°, β = 90.00°, γ = 90.00°
Closest atoms and distances in Å follow each position.
Fractional positions:
Cr 0.5000 0.5000 0.5000  8 O 2.83, 4 F 2.89
F 0.0000 0.0000 0.5000  2 Na 1.96
O 0.0000 0.5000 0.0000  2 Na 2.04
O 0.5000 0.0000 0.0000  2 Na 2.04
Na 0.0000 0.0000 0.0000  2 F 1.96, 4 O 2.04


Repeat the tenth record exactly.
Here is a geometry-optimized NaCrNiF6 structure from the Alexandria database. Energies are from PBE with a Hubbard U.

Properties
Total DFT energy (no corrections) ... -89.7 eV per cell
Crystal system ... trigonal
Symmetry ... P-31c (163)

a = 5.2624 Å, b = 5.2624 Å, c = 9.7826 Å
α = 90.00°, β = 90.00°, γ = 120.00°
Closest atoms and distances in Å follow each position.
Fractional positions:
Na 0.0000 0.0000 0.0000  6 F 2.35
Na 0.0000 0.0000 0.5000  6 F 2.35
Cr 0.6667 0.3333 0.2500  6 F 1.95
Cr 0.3333 0.6667 0.7500  6 F 1.95
Ni 0.3333 0.6667 0.2500  6 F 2.03
Ni 0.6667 0.3333 0.7500  6 F 2.03
F 0.6459 0.6338 0.1419  1 Cr 1.95, 1 Ni 2.03
F 0.9879 0.3541 0.1419  1 Cr 1.95, 1 Ni 2.03
F 0.3541 0.9879 0.6419  1 Cr 1.95, 1 Ni 2.03
F 0.0121 0.6459 0.8581  1 Cr 1.95, 1 Ni 2.03
F 0.3662 0.3541 0.3581  1 Cr 1.95, 1 Ni 2.03
F 0.9879 0.6338 0.3581  1 Cr 1.95, 1 Ni 2.03
F 0.6338 0.9879 0.8581  1 Cr 1.95, 1 Ni 2.03
F 0.6459 0.0121 0.3581  1 Cr 1.95, 1 Ni 2.03
F 0.0121 0.3662 0.6419  1 Cr 1.95, 1 Ni 2.03
F 0.3662 0.0121 0.1419  1 Cr 1.95, 1 Ni 2.03
F 0.6338 0.6459 0.6419  1 Cr 1.95, 1 Ni 2.03
F 0.3541 0.3662 0.8581  1 Cr 1.95, 1 Ni 2.03